Below is a geometry-optimized Ga3Ni12Mo structure, with properties calculated at the GGA-PBE level.

Calculated values
- space group = P4/mmm (123)
- energy relative to the elements (meV per atom) = -253

Cell: 3.6012 3.6012 14.3121 Å, 90.00 90.00 90.00°
Last column: nearest neighbours and their distance in Å.
Fractional positions:
Ga 0.0000 0.0000 0.0000  12 Ni 2.53-2.55
Ga 0.0000 0.0000 0.2447  12 Ni 2.49-2.60
Ga 0.0000 0.0000 0.7553  12 Ni 2.49-2.60
Ni 0.0000 0.5000 0.1241  4 Ga 2.49-2.53, 8 Ni 2.53-2.55
Ni 0.0000 0.5000 0.3754  2 Mo 2.53, 8 Ni 2.53-2.55, 2 Ga 2.60
Ni 0.0000 0.5000 0.6246  2 Mo 2.53, 8 Ni 2.53-2.55, 2 Ga 2.60
Ni 0.0000 0.5000 0.8759  4 Ga 2.49-2.53, 8 Ni 2.53-2.55
Ni 0.5000 0.0000 0.1241  4 Ga 2.49-2.53, 8 Ni 2.53-2.55
Ni 0.5000 0.0000 0.3754  2 Mo 2.53, 8 Ni 2.53-2.55, 2 Ga 2.60
Ni 0.5000 0.0000 0.6246  2 Mo 2.53, 8 Ni 2.53-2.55, 2 Ga 2.60
Ni 0.5000 0.0000 0.8759  4 Ga 2.49-2.53, 8 Ni 2.53-2.55
Ni 0.5000 0.5000 0.0000  8 Ni 2.53, 4 Ga 2.55
Ni 0.5000 0.5000 0.2500  8 Ni 2.54-2.55, 4 Ga 2.55
Ni 0.5000 0.5000 0.5000  8 Ni 2.53, 4 Mo 2.55
Ni 0.5000 0.5000 0.7500  8 Ni 2.54-2.55, 4 Ga 2.55
Mo 0.0000 0.0000 0.5000  12 Ni 2.53-2.55

***

Below is a geometry-optimized Er3ScAs4 structure, with properties calculated at the GGA-PBE level.

Calculated values
- space group = Pm-3m (221)
- energy relative to the elements (meV per atom) = -1468
- offset from the most stable computed form (eV/atom) = 0.005

Cell: 5.7077 5.7077 5.7077 Å, 90.00 90.00 90.00°
Last column: nearest neighbours and their distance in Å.
Fractional positions:
Er 0.0000 0.0000 0.5000  6 As 2.85
Er 0.0000 0.5000 0.0000  6 As 2.85
Er 0.5000 0.0000 0.0000  6 As 2.85
Sc 0.5000 0.5000 0.5000  6 As 2.85
As 0.0000 0.0000 0.0000  6 Er 2.85
As 0.0000 0.5000 0.5000  4 Er 2.85, 2 Sc 2.85
As 0.5000 0.0000 0.5000  4 Er 2.85, 2 Sc 2.85
As 0.5000 0.5000 0.0000  4 Er 2.85, 2 Sc 2.85

***

Below is a geometry-optimized Sc2ZnNiC structure, with properties calculated at the GGA-PBE level.

Calculated values
- space group = P4/mmm (123)
- energy relative to the elements (meV per atom) = -389

Cell: 4.5424 4.5424 3.7155 Å, 90.00 90.00 90.00°
Last column: nearest neighbours and their distance in Å.
Fractional positions:
Sc 0.0000 0.5000 0.0000  2 C 2.27
Sc 0.5000 0.0000 0.0000  2 C 2.27
Zn 0.0000 0.0000 0.5000  8 Sc 2.93, 4 Ni 3.21
Ni 0.5000 0.5000 0.5000  2 C 1.86
C 0.5000 0.5000 0.0000  2 Ni 1.86

***

Below is a geometry-optimized Sm4SnHg structure, with properties calculated at the GGA-PBE level.

Calculated values
- space group = Cmcm (63)
- energy relative to the elements (meV per atom) = -270

Cell: 11.2103 11.2103 6.5144 Å, 90.00 90.00 151.17°
Last column: nearest neighbours and their distance in Å.
Fractional positions:
Sm 0.0616 0.9384 0.7500  3 Hg 3.00-3.27
Sm 0.2078 0.7922 0.5055  5 Sm 3.18-3.55, 1 Hg 3.30, 3 Sn 3.40-3.41
Sm 0.2078 0.7922 0.9945  5 Sm 3.18-3.55, 1 Hg 3.30, 3 Sn 3.40-3.41
Sm 0.3766 0.6234 0.7500  2 Hg 2.97
Sm 0.6234 0.3766 0.2500  2 Hg 2.97
Sm 0.7922 0.2078 0.0055  5 Sm 3.18-3.55, 1 Hg 3.30, 3 Sn 3.40-3.41
Sm 0.7922 0.2078 0.4945  5 Sm 3.18-3.55, 1 Hg 3.30, 3 Sn 3.40-3.41
Sm 0.9384 0.0616 0.2500  3 Hg 3.00-3.27
Sn 0.3442 0.6558 0.2500  10 Sm 3.33-3.46
Sn 0.6558 0.3442 0.7500  10 Sm 3.33-3.46
Hg 0.0765 0.9235 0.2500  7 Sm 2.97-3.30
Hg 0.9235 0.0765 0.7500  7 Sm 2.97-3.30